# 1
# RbBaSr PBE-GGA relaxed
# energy relative to the elements = 0.246 eV per formula unit
# SG = No. 156
# N(E_F) = 1.178 states/eV per atom
# electronic total energy = -1.442 eV/atom
data_RbBaSr
_cell_length_a 4.469
_cell_length_b 4.469
_cell_length_c 11.519
_cell_angle_alpha 90.00
_cell_angle_beta 90.00
_cell_angle_gamma 120.00
_space_group_name_H-M_alt 'P 1'
_space_group_IT_number 1
_space_group_name_Hall 'P 1'
loop_
_atom_site_label
_atom_site_type_symbol
_atom_site_fract_x
_atom_site_fract_y
_atom_site_fract_z
_atom_site_occupancy
Rb1 Rb 0.000 0.000 0.000 1
Ba1 Ba 0.333 0.667 0.647 1
Sr1 Sr 0.667 0.333 0.343 1

# 2
# AcTbY2 PBE-GGA relaxed
# energy relative to the elements = 0.194 eV per formula unit
# SG = No. 44
# N(E_F) = 1.683 states/eV per atom
# electronic total energy = -5.368 eV/atom
data_AcTbY2
_cell_length_a 6.935
_cell_length_b 6.935
_cell_length_c 6.935
_cell_angle_alpha 148.43
_cell_angle_beta 64.60
_cell_angle_gamma 125.23
_space_group_name_H-M_alt 'P 1'
_space_group_IT_number 1
_space_group_name_Hall 'P 1'
loop_
_atom_site_label
_atom_site_type_symbol
_atom_site_fract_x
_atom_site_fract_y
_atom_site_fract_z
_atom_site_occupancy
Ac1 Ac 0.000 0.000 0.000 1
Tb1 Tb 0.509 0.009 0.500 1
Y1 Y 0.104 0.349 0.755 1
Y2 Y 0.594 0.349 0.245 1

# 3
# ErPd6Au PBE-GGA relaxed
# energy relative to the elements = -2.318 eV per formula unit
# SG = No. 12
# N(E_F) = 0.791 states/eV per atom
# electronic total energy = -5.164 eV/atom
data_ErPd6Au
_cell_length_a 5.405
_cell_length_b 5.405
_cell_length_c 5.528
_cell_angle_alpha 91.85
_cell_angle_beta 91.85
_cell_angle_gamma 120.02
_space_group_name_H-M_alt 'P 1'
_space_group_IT_number 1
_space_group_name_Hall 'P 1'
loop_
_atom_site_label
_atom_site_type_symbol
_atom_site_fract_x
_atom_site_fract_y
_atom_site_fract_z
_atom_site_occupancy
Er1 Er 0.000 0.000 0.000 1
Pd1 Pd 0.053 0.554 0.257 1
Pd2 Pd 0.446 0.947 0.743 1
Pd3 Pd 0.472 0.472 0.749 1
Pd4 Pd 0.528 0.528 0.251 1
Pd5 Pd 0.554 0.053 0.257 1
Pd6 Pd 0.947 0.446 0.743 1
Au1 Au 0.000 0.000 0.500 1

# 4
# Al5Re PBE-GGA relaxed
# energy relative to the elements = -0.710 eV per formula unit
# SG = No. 63
# N(E_F) = 0.207 states/eV per atom
# electronic total energy = -5.312 eV/atom
data_Al5Re
_cell_length_a 5.066
_cell_length_b 5.066
_cell_length_c 12.783
_cell_angle_alpha 90.00
_cell_angle_beta 90.00
_cell_angle_gamma 141.54
_space_group_name_H-M_alt 'P 1'
_space_group_IT_number 1
_space_group_name_Hall 'P 1'
loop_
_atom_site_label
_atom_site_type_symbol
_atom_site_fract_x
_atom_site_fract_y
_atom_site_fract_z
_atom_site_occupancy
Al1 Al 0.062 0.938 0.610 1
Al2 Al 0.062 0.938 0.890 1
Al3 Al 0.214 0.786 0.076 1
Al4 Al 0.214 0.786 0.424 1
Al5 Al 0.374 0.626 0.750 1
Al6 Al 0.626 0.374 0.250 1
Al7 Al 0.786 0.214 0.576 1
Al8 Al 0.786 0.214 0.924 1
Al9 Al 0.938 0.062 0.110 1
Al10 Al 0.938 0.062 0.390 1
Re1 Re 0.346 0.654 0.250 1
Re2 Re 0.654 0.346 0.750 1

# 5
# HfTeF2 PBE-GGA relaxed
# SG = No. 122
# raw formation energy = -2.0721 eV/atom
# N(E_F) = 0.244 states/eV per atom
# electronic total energy = -6.282 eV/atom
data_HfTeF2
_cell_length_a 7.782
_cell_length_b 7.782
_cell_length_c 7.782
_cell_angle_alpha 146.21
_cell_angle_beta 146.21
_cell_angle_gamma 48.53
_space_group_name_H-M_alt 'P 1'
_space_group_IT_number 1
_space_group_name_Hall 'P 1'
loop_
_atom_site_label
_atom_site_type_symbol
_atom_site_fract_x
_atom_site_fract_y
_atom_site_fract_z
_atom_site_occupancy
Hf1 Hf 0.000 0.000 0.000 1
Hf2 Hf 0.750 0.250 0.500 1
Te1 Te 0.250 0.750 0.500 1
Te2 Te 0.500 0.500 0.000 1
F1 F 0.375 0.129 0.254 1
F2 F 0.871 0.125 0.246 1
F3 F 0.875 0.121 0.746 1
F4 F 0.879 0.625 0.754 1

# 6
# Y2ReSe PBE-GGA relaxed
# SG = No. 160
# raw formation energy = -0.1303 eV/atom
# N(E_F) = 1.180 states/eV per atom
# electronic total energy = -7.346 eV/atom
data_Y2ReSe
_cell_length_a 6.466
_cell_length_b 6.466
_cell_length_c 6.466
_cell_angle_alpha 39.69
_cell_angle_beta 39.69
_cell_angle_gamma 39.69
_space_group_name_H-M_alt 'P 1'
_space_group_IT_number 1
_space_group_name_Hall 'P 1'
loop_
_atom_site_label
_atom_site_type_symbol
_atom_site_fract_x
_atom_site_fract_y
_atom_site_fract_z
_atom_site_occupancy
Y1 Y 0.000 0.000 0.000 1
Y2 Y 0.183 0.183 0.183 1
Re1 Re 0.420 0.420 0.420 1
Se1 Se 0.765 0.765 0.765 1

# 7
# CaPOsCl2 PBE-GGA relaxed
# SG = No. 123
# raw formation energy = -0.3172 eV/atom
# N(E_F) = 0.441 states/eV per atom
# electronic total energy = -4.784 eV/atom
data_CaPOsCl2
_cell_length_a 5.017
_cell_length_b 5.017
_cell_length_c 4.501
_cell_angle_alpha 90.00
_cell_angle_beta 90.00
_cell_angle_gamma 90.00
_space_group_name_H-M_alt 'P 1'
_space_group_IT_number 1
_space_group_name_Hall 'P 1'
loop_
_atom_site_label
_atom_site_type_symbol
_atom_site_fract_x
_atom_site_fract_y
_atom_site_fract_z
_atom_site_occupancy
Ca1 Ca 0.000 0.000 0.000 1
P1 P 0.500 0.500 0.000 1
Os1 Os 0.500 0.500 0.500 1
Cl1 Cl 0.000 0.500 0.500 1
Cl2 Cl 0.500 0.000 0.500 1

# 8
# Cs6K2Hg PBE-GGA relaxed
# energy relative to the elements = -0.315 eV per formula unit
# SG = No. 14
# N(E_F) = 1.058 states/eV per atom
# electronic total energy = -0.881 eV/atom
data_Cs6K2Hg
_cell_length_a 9.611
_cell_length_b 14.339
_cell_length_c 14.967
_cell_angle_alpha 90.00
_cell_angle_beta 125.16
_cell_angle_gamma 90.00
_space_group_name_H-M_alt 'P 1'
_space_group_IT_number 1
_space_group_name_Hall 'P 1'
loop_
_atom_site_label
_atom_site_type_symbol
_atom_site_fract_x
_atom_site_fract_y
_atom_site_fract_z
_atom_site_occupancy
Cs1 Cs 0.135 0.141 0.473 1
Cs2 Cs 0.135 0.359 0.973 1
Cs3 Cs 0.282 0.741 0.939 1
Cs4 Cs 0.282 0.759 0.439 1
Cs5 Cs 0.304 0.042 0.194 1
Cs6 Cs 0.304 0.458 0.694 1
Cs7 Cs 0.696 0.542 0.306 1
Cs8 Cs 0.696 0.958 0.806 1
Cs9 Cs 0.718 0.241 0.561 1
Cs10 Cs 0.718 0.259 0.061 1
Cs11 Cs 0.865 0.641 0.027 1
Cs12 Cs 0.865 0.859 0.527 1
K1 K 0.232 0.070 0.835 1
K2 K 0.232 0.430 0.335 1
K3 K 0.768 0.570 0.665 1
K4 K 0.768 0.930 0.165 1
Hg1 Hg 0.500 0.000 0.500 1
Hg2 Hg 0.500 0.500 0.000 1